The following is a DFT calculation (PBE) of a relaxed AcLaCdPt crystal.

Values from the calculation:
crystal system	cubic
density	9.787	g cm⁻³
volume	114	Å³/cell
formation enthalpy at 0 K	-58.2	kJ/mol of atoms
electronic total energy	-0.1691	hartree per atom

Structure (POSCAR):
```
AcLaCdPt
1.0
5.447 0.000 0.000
2.723 4.717 0.000
2.723 1.572 4.447
La Cd Ac Pt
1 1 1 1
direct
0.500 0.500 0.500
0.250 0.250 0.250
0.000 0.000 0.000
0.750 0.750 0.750
```